Below is SrBrF after structural relaxation, with properties calculated at the PBE-GGA level.

- Offset from the most stable computed form: 0.000 eV/atom
- Formation energy without anion corrections: -3066 meV/atom

Lattice parameters (Å, degrees): 4.244 4.244 7.560 90.00 90.00 90.00
Fractional positions:
Sr 0.250 0.250 0.184
Sr 0.750 0.750 0.816
Br 0.250 0.250 0.649
Br 0.750 0.750 0.351
F 0.250 0.750 0.000
F 0.750 0.250 0.000



Below is Sr2Br3F after structural relaxation, with properties calculated at the PBE-GGA level.

- Formation energy without anion corrections: -2527 meV/atom

Lattice parameters (Å, degrees): 8.628 8.628 11.192 113.55 113.55 31.21
Fractional positions:
Sr 0.099 0.099 0.442
Sr 0.359 0.359 0.183
Sr 0.641 0.641 0.817
Sr 0.901 0.901 0.558
Br 0.156 0.156 0.001
Br 0.281 0.281 0.386
Br 0.446 0.446 0.752
Br 0.554 0.554 0.248
Br 0.719 0.719 0.614
Br 0.844 0.844 0.999
F 0.065 0.065 0.639
F 0.935 0.935 0.361



Below is SrBrF after structural relaxation, with properties calculated at the PBE-GGA level.

- Offset from the most stable computed form: 0.319 eV/atom
- Formation energy without anion corrections: -2747 meV/atom

Lattice parameters (Å, degrees): 4.835 4.835 4.835 60.00 60.00 60.00
Fractional positions:
Sr 0.000 0.000 0.000
Br 0.250 0.250 0.250
F 0.750 0.750 0.750



Below is SrBrF6 after structural relaxation, with properties calculated at the PBE-GGA level.

- Formation energy without anion corrections: -1822 meV/atom

Lattice parameters (Å, degrees): 6.296 6.296 6.296 60.00 60.00 60.00
Fractional positions:
Sr 0.000 0.000 0.000
Br 0.500 0.500 0.500
F 0.272 0.272 0.728
F 0.272 0.728 0.272
F 0.272 0.728 0.728
F 0.728 0.272 0.272
F 0.728 0.272 0.728
F 0.728 0.728 0.272